Density functional theory data (PBE) for a relaxed structure of La4Hg2Au.

Values from the calculation:
As for the symmetry: R-3m (166). The density comes out at 8.53 g/cm3. As for the crystal system: trigonal. Its calculated total energy is -26.57 eV for the cell shown. Its volume is 225 Å³ per cell. The energy relative to the elements comes out at -425 meV/atom.

```
La4Hg2Au
1.0
2.709 1.564 8.841
-2.709 1.564 8.841
0.000 -3.128 8.841
La Hg Au
4 2 1
Cartesian
0.000 0.000 3.246
0.000 0.000 9.883
0.000 0.000 16.639
0.000 0.000 23.276
0.000 0.000 6.481
0.000 0.000 20.041
0.000 0.000 0.000
```

Density functional theory data (PBE) for a relaxed structure of La4HgAu.

Values from the calculation:
The relative energy among the computed polymorphs is 0.599 eV/atom. As for the symmetry: F-43m (216). The density comes out at 8.59 g/cm3. As for the crystal system: cubic. Its calculated total energy is -22.22 eV for the cell shown. Its volume is 184 Å³ per cell. The energy relative to the elements comes out at 179 meV/atom.

```
La4HgAu
1.0
0.000 4.517 4.517
4.517 0.000 4.517
4.517 4.517 0.000
La Hg Au
4 1 1
Cartesian
1.128 1.128 1.128
3.389 3.389 1.128
3.389 1.128 3.389
1.128 3.389 3.389
4.517 4.517 4.517
6.776 6.776 6.776
```

Density functional theory data (PBE) for a relaxed structure of LaHgAu.

Values from the calculation:
As for the symmetry: F-43m (216). The density comes out at 9.47 g/cm3. As for the crystal system: cubic. Its calculated total energy is -9.57 eV for the cell shown. Its volume is 94 Å³ per cell. The energy relative to the elements comes out at -353 meV/atom.

```
LaHgAu
1.0
0.000 3.610 3.610
3.610 0.000 3.610
3.610 3.610 0.000
La Hg Au
1 1 1
Cartesian
0.000 0.000 0.000
1.805 1.805 1.805
5.415 5.415 5.415
```